1.
Entry from Alexandria via LeMat-Bulk: a geometry-optimized CrCo6Re structure (GGA-PBEsol).

DFT formation energy = 0.022 eV per atom
ρ = 11.55 g cm⁻³
DOS at the Fermi energy = 35.00 states/eV/cell
size of the total moment = 0.37 μB/f.u.
final energy = -279.285 eV for the cell shown

Cell: 6.0470 6.0470 9.8768 Å, 90.00 90.00 109.51°
Fractional coordinates of all 32 atoms:
Co (0.2483, 0.7517, 0.7479)
Co (0.8761, 0.6273, 0.8740)
Co (0.1239, 0.3727, 0.8740)
Co (0.7517, 0.2483, 0.7479)
Co (0.3727, 0.1239, 0.8740)
Co (0.6273, 0.8761, 0.8740)
Co (0.5000, 0.5000, 0.5000)
Co (0.1223, 0.3734, 0.6239)
Co (0.3734, 0.1223, 0.6239)
Co (0.2483, 0.7517, 0.2521)
Co (0.8777, 0.6266, 0.3761)
Co (0.1223, 0.3734, 0.3761)
Co (0.7517, 0.2483, 0.2521)
Co (0.3734, 0.1223, 0.3761)
Co (0.6266, 0.8777, 0.3761)
Co (0.5000, 0.5000, 0.0000)
Co (0.1239, 0.3727, 0.1260)
Co (0.3727, 0.1239, 0.1260)
Co (0.0000, 0.0000, 0.5000)
Co (0.6266, 0.8777, 0.6239)
Co (0.8777, 0.6266, 0.6239)
Co (0.0000, 0.0000, 0.0000)
Co (0.6273, 0.8761, 0.1260)
Co (0.8761, 0.6273, 0.1260)
Cr (0.2516, 0.7484, 0.5000)
Cr (0.7484, 0.2516, 0.5000)
Cr (0.0000, 0.0000, 0.7450)
Cr (0.0000, 0.0000, 0.2550)
Re (0.2508, 0.7492, 0.0000)
Re (0.7492, 0.2508, 0.0000)
Re (0.5000, 0.5000, 0.7462)
Re (0.5000, 0.5000, 0.2538)

2.
Entry from Alexandria via LeMat-Bulk: a geometry-optimized CrCo2Re structure (GGA-PBEsol).

DFT formation energy = -0.044 eV per atom
ρ = 13.01 g cm⁻³
DOS at the Fermi energy = 2.69 states/eV/cell
excess energy over the best structure of this formula in the dataset = 0 meV per atom
size of the total moment = 0.00 μB/f.u.
final energy = -39.226 eV for the cell shown

Cell: 2.5396 4.0515 4.4155 Å, 90.00 90.01 90.00°
Fractional coordinates of all 4 atoms:
Re (0.3753, 0.5000, 0.2051)
Co (0.8750, 0.0000, 0.0348)
Co (0.8750, 0.5000, 0.7062)
Cr (0.3747, 0.0000, 0.5540)

3.
Entry from Alexandria via LeMat-Bulk: a geometry-optimized CrCo2Re structure (GGA-PBEsol).

DFT formation energy = 0.195 eV per atom
ρ = 12.67 g cm⁻³
DOS at the Fermi energy = 5.41 states/eV/cell
excess energy over the best structure of this formula in the dataset = 239 meV per atom
size of the total moment = 0.61 μB/f.u.
final energy = -38.269 eV for the cell shown

Cell: 2.5662 2.5662 8.3176 Å, 81.13 81.13 60.00°
Fractional coordinates of all 4 atoms:
Co (0.2463, 0.2463, 0.2610)
Co (0.7537, 0.7537, 0.7390)
Cr (0.5000, 0.5000, 0.5000)
Re (0.0000, 0.0000, 0.0000)

4.
Entry from Alexandria via LeMat-Bulk: a geometry-optimized Cr3CoRe structure (GGA-PBEsol).

DFT formation energy = 1.369 eV per atom
ρ = 9.86 g cm⁻³
DOS at the Fermi energy = 6.64 states/eV/cell
size of the total moment = 0.00 μB/f.u.
final energy = -44.951 eV for the cell shown

Cell: 4.0721 4.0721 4.0721 Å, 90.00 90.00 90.00°
Fractional coordinates of all 5 atoms:
Re (0.5000, 0.5000, 0.5000)
Co (0.0000, 0.0000, 0.0000)
Cr (0.0000, 0.5000, 0.0000)
Cr (0.0000, 0.0000, 0.5000)
Cr (0.5000, 0.0000, 0.0000)